one.
Compound: HfIn2Re
Source: the Alexandria database
Functional: GGA-PBE
Structure: optimized geometry

a b c (Å): 7.798 7.798 6.209
angles (deg): 51.10 51.10 90.00
Each line ends with the local moment (μB).
Atoms (fractional coordinates):
Re (0.750, 0.250, 0.500)  0.94
Re (0.000, 0.000, 0.000)  0.94
In (0.375, 0.352, 0.750)  0.00
In (0.648, 0.125, 0.250)  0.00
In (0.875, 0.898, 0.750)  0.00
In (0.102, 0.625, 0.250)  0.00
Hf (0.500, 0.500, 0.000)  -0.03
Hf (0.250, 0.750, 0.500)  -0.03

- Density of states at the Fermi level: 2.24 states/eV/f.u.
- SG: I-42d (122)



two.
Compound: HfIn2Re
Source: the Alexandria database
Functional: GGA-PBE
Structure: optimized geometry

a b c (Å): 4.762 4.762 4.762
angles (deg): 60.00 60.00 60.00
Atoms (fractional coordinates):
In (0.750, 0.750, 0.750)
In (0.250, 0.250, 0.250)
Hf (0.000, 0.000, 0.000)
Re (0.500, 0.500, 0.500)

- Density of states at the Fermi level: 2.53 states/eV/f.u.
- SG: Fm-3m (225)



Computed energies relative to the best structure, in eV/atom: one 0.322; two 0.000



one.
Compound: HfIn3Rh
Source: the Alexandria database
Functional: GGA-PBE
Structure: optimized geometry

a b c (Å): 5.034 5.034 5.034
angles (deg): 90.00 90.00 90.00
Atoms (fractional coordinates):
Rh (0.000, 0.000, 0.000)
In (0.500, 0.000, 0.000)
In (0.000, 0.000, 0.500)
In (0.000, 0.500, 0.000)
Hf (0.500, 0.500, 0.500)

- Density of states at the Fermi level: 4.64 states/eV/f.u.
- SG: Pm-3m (221)



two.
Compound: HfIn3Rh
Source: the Alexandria database
Functional: GGA-PBE
Structure: optimized geometry

a b c (Å): 5.441 5.441 5.441
angles (deg): 90.00 90.00 90.00
Each line ends with the local moment (μB).
Atoms (fractional coordinates):
Rh (0.500, 0.500, 0.500)  0.97
In (0.000, 0.000, 0.500)  -0.02
In (0.500, 0.000, 0.000)  0.00
In (0.000, 0.500, 0.000)  -0.02
Hf (0.000, 0.000, 0.000)  -0.09

- Density of states at the Fermi level: 5.25 states/eV/f.u.
- SG: Pm-3m (221)



Computed energies relative to the best structure, in eV/atom: one 0.000; two 0.862



one.
Compound: Hf2InRh3
Source: the Alexandria database
Functional: GGA-PBE
Structure: optimized geometry

a b c (Å): 4.600 4.600 11.309
angles (deg): 90.00 90.00 120.00
Atoms (fractional coordinates):
Hf (0.333, 0.667, 0.175)
Hf (0.667, 0.333, 0.825)
Hf (0.000, 0.000, 0.000)
Hf (0.000, 0.000, 0.500)
Rh (0.000, 0.000, 0.241)
Rh (0.333, 0.667, 0.420)
Rh (0.667, 0.333, 0.074)
Rh (0.667, 0.333, 0.580)
Rh (0.000, 0.000, 0.759)
Rh (0.333, 0.667, 0.926)
In (0.667, 0.333, 0.333)
In (0.333, 0.667, 0.667)

- Density of states at the Fermi level: 5.55 states/eV/f.u.
- SG: P-3m1 (164)



two.
Compound: Hf2InRh3
Source: the Alexandria database
Functional: GGA-PBE
Structure: optimized geometry

a b c (Å): 3.339 3.339 9.369
angles (deg): 90.00 90.00 90.00
Atoms (fractional coordinates):
Hf (0.500, 0.500, 0.828)
Hf (0.500, 0.500, 0.172)
In (0.500, 0.500, 0.500)
Rh (0.000, 0.000, 0.325)
Rh (0.000, 0.000, 0.675)
Rh (0.000, 0.000, 0.000)

- Density of states at the Fermi level: 3.46 states/eV/f.u.
- SG: P4/mmm (123)



Computed energies relative to the best structure, in eV/atom: one 0.000; two 0.019



one.
Compound: HfInTcRh
Source: the Alexandria database
Functional: GGA-PBE
Structure: optimized geometry

a b c (Å): 3.370 4.477 4.527
angles (deg): 90.00 90.00 90.00
Atoms (fractional coordinates):
In (0.500, 0.500, 0.000)
Rh (0.000, 0.000, 0.000)
Tc (0.000, 0.500, 0.500)
Hf (0.500, 0.000, 0.500)

- Density of states at the Fermi level: 3.34 states/eV/f.u.
- SG: Pmmm (47)



two.
Compound: HfInTcRh
Source: the Alexandria database
Functional: GGA-PBE
Structure: optimized geometry

a b c (Å): 4.596 4.596 4.596
angles (deg): 60.00 60.00 60.00
Atoms (fractional coordinates):
Hf (0.750, 0.750, 0.750)
Tc (0.500, 0.500, 0.500)
In (0.250, 0.250, 0.250)
Rh (0.000, 0.000, 0.000)

- Density of states at the Fermi level: 5.33 states/eV/f.u.
- SG: F-43m (216)



Computed energies relative to the best structure, in eV/atom: one 0.000; two 0.054